Record 1
The following is a DFT calculation (PBE) of ScNiIr2 after structural relaxation.

Structure (CIF):
```
data_ScNiIr2
_chemical_formula_sum 'Sc2 Ni2 Ir4'
_space_group_name_H-M_alt 'C 1 2/m 1'
_space_group_IT_number 12
_cell_length_a 8.9503
_cell_length_b 2.8260
_cell_length_c 4.7747
_cell_angle_alpha 90.00
_cell_angle_beta 101.19
_cell_angle_gamma 90.00
loop_
_space_group_symop_operation_xyz
'x,y,z'
'-x,-y,-z'
'-x,y,-z'
'x,-y,z'
'x+1/2,y+1/2,z'
'-x+1/2,-y+1/2,-z'
'-x+1/2,y+1/2,-z'
'x+1/2,-y+1/2,z'
loop_
_atom_site_label
_atom_site_type_symbol
_atom_site_fract_x
_atom_site_fract_y
_atom_site_fract_z
_atom_site_occupancy
Sc1 Sc 0.0000 0.0000 0.0000 1
Ni1 Ni 0.0000 0.5000 0.5000 1
Ir1 Ir 0.2449 0.0000 0.7321 1
```

Output
**DFT total energy**: -0.289 hartree per atom
**D(E_F)**: 1.051 states/eV per atom
**Calculated formation energy**: -0.39 eV per atom



Record 2
The following is a DFT calculation (PBE) of Sc3NiIr after structural relaxation.

Structure (CIF):
```
data_Sc3NiIr
_chemical_formula_sum 'Sc6 Ni2 Ir2'
_space_group_name_H-M_alt 'P m m n'
_space_group_IT_number 59
_cell_length_a 4.2996
_cell_length_b 7.7787
_cell_length_c 5.5870
_cell_angle_alpha 90.00
_cell_angle_beta 90.00
_cell_angle_gamma 90.00
loop_
_space_group_symop_operation_xyz
'x,y,z'
'-x,-y,-z'
'-x+1/2,-y+1/2,z'
'x+1/2,y+1/2,-z'
'x+1/2,-y,-z'
'-x+1/2,y,z'
'-x,y+1/2,-z'
'x,-y+1/2,z'
loop_
_atom_site_label
_atom_site_type_symbol
_atom_site_fract_x
_atom_site_fract_y
_atom_site_fract_z
_atom_site_occupancy
Sc1 Sc 0.2500 0.0474 0.2429 1
Sc2 Sc 0.2500 0.2500 0.7458 1
Ni1 Ni 0.2500 0.7500 0.5192 1
Ir1 Ir 0.2500 0.7500 0.9645 1
```

Output
**DFT total energy**: -0.270 hartree per atom
**D(E_F)**: 0.998 states/eV per atom
**Calculated formation energy**: -0.61 eV per atom



Record 3
The following is a DFT calculation (PBE) of ScNiIr3 after structural relaxation.

Structure (CIF):
```
data_ScNiIr3
_chemical_formula_sum 'Sc1 Ni1 Ir3'
_space_group_name_H-M_alt 'P m -3 m'
_space_group_IT_number 221
_space_group_name_Hall '-P 4 2 3'
_cell_length_a 4.6474
_cell_length_b 4.6474
_cell_length_c 4.6474
_cell_angle_alpha 90.00
_cell_angle_beta 90.00
_cell_angle_gamma 90.00
loop_
_atom_site_label
_atom_site_type_symbol
_atom_site_fract_x
_atom_site_fract_y
_atom_site_fract_z
_atom_site_occupancy
Sc1 Sc 0.0000 0.0000 0.0000 1
Ni1 Ni 0.5000 0.5000 0.5000 1
Ir1 Ir 0.0000 0.0000 0.5000 1
```

Output
**DFT total energy**: -0.219 hartree per atom
**D(E_F)**: 1.507 states/eV per atom
**Calculated formation energy**: 1.77 eV per atom



Record 4
The following is a DFT calculation (PBE) of ScNiIr after structural relaxation.

Structure (CIF):
```
data_ScNiIr
_chemical_formula_sum 'Sc4 Ni4 Ir4'
_space_group_name_H-M_alt 'C 1 m 1'
_space_group_IT_number 8
_cell_length_a 8.7669
_cell_length_b 3.9975
_cell_length_c 5.3725
_cell_angle_alpha 90.00
_cell_angle_beta 106.32
_cell_angle_gamma 90.00
loop_
_space_group_symop_operation_xyz
'x,y,z'
'x,-y,z'
'x+1/2,y+1/2,z'
'x+1/2,-y+1/2,z'
loop_
_atom_site_label
_atom_site_type_symbol
_atom_site_fract_x
_atom_site_fract_y
_atom_site_fract_z
_atom_site_occupancy
Sc1 Sc 0.0000 0.0000 0.0000 1
Sc2 Sc 0.2167 0.5000 0.3604 1
Ni1 Ni 0.1830 0.5000 0.8335 1
Ni2 Ni 0.3601 0.0000 0.1808 1
Ir1 Ir 0.0398 0.0000 0.5208 1
Ir2 Ir 0.3608 0.0000 0.6838 1
```

Output
**DFT total energy**: -0.276 hartree per atom
**D(E_F)**: 0.864 states/eV per atom
**Calculated formation energy**: -0.52 eV per atom



Which of these has the highest calculated formation energy?
ScNiIr3